No. 1
Entry from Alexandria: a relaxed structure of Ba2NdTlHg6 (PBE).

Lattice parameters (Å, degrees): 8.224 8.224 8.224 60.00 60.00 60.00
Positions (direct):
Ba1 0.250 0.250 0.250
Ba2 0.750 0.750 0.750
Nd1 0.000 0.000 0.000
Tl1 0.500 0.500 0.500
Hg1 0.254 0.254 0.746
Hg2 0.254 0.746 0.254
Hg3 0.254 0.746 0.746
Hg4 0.746 0.254 0.254
Hg5 0.746 0.254 0.746
Hg6 0.746 0.746 0.254

Calculated values
raw total energy = -1.4213 eV per atom
magnetic moment = 0.0000 μB per atom

No. 2
Entry from Alexandria: a relaxed structure of Mo2PAu (PBE).

Lattice parameters (Å, degrees): 4.484 4.484 4.484 60.00 60.00 60.00
Positions (direct):
Mo1 0.000 0.000 0.000
Mo2 0.250 0.250 0.250
P1 0.750 0.750 0.750
Au1 0.500 0.500 0.500

Calculated values
raw total energy = -7.0097 eV per atom
magnetic moment = 0.0644 μB per atom

No. 3
Entry from Alexandria: a relaxed structure of NdTlCdIn (PBE).

Lattice parameters (Å, degrees): 4.668 4.752 4.762 90.00 90.00 90.00
Positions (direct):
Nd1 0.000 0.000 0.000
Tl1 0.500 0.500 0.000
Cd1 0.000 0.500 0.500
In1 0.500 0.000 0.500

Calculated values
offset from the most stable computed form = 0.0000 eV/atom
magnetic moment = 0.0000 μB per atom

No. 4
Entry from Alexandria: a relaxed structure of Dy3Zn2 (PBE).

Lattice parameters (Å, degrees): 3.563 3.563 19.315 90.00 90.00 90.00
Positions (direct):
Dy1 0.000 0.000 0.000
Dy2 0.000 0.000 0.184
Dy3 0.000 0.000 0.369
Dy4 0.000 0.000 0.631
Dy5 0.000 0.000 0.816
Dy6 0.500 0.500 0.500
Zn1 0.500 0.500 0.093
Zn2 0.500 0.500 0.277
Zn3 0.500 0.500 0.723
Zn4 0.500 0.500 0.907

Calculated values
offset from the most stable computed form = 0.0000 eV/atom
magnetic moment = 0.0000 μB per atom

No. 5
Entry from Alexandria: a relaxed structure of Be2Rh (PBE).

Lattice parameters (Å, degrees): 5.953 5.953 3.686 90.00 90.00 152.63
Positions (direct):
Be1 0.068 0.932 0.750
Be2 0.267 0.733 0.250
Be3 0.733 0.267 0.750
Be4 0.932 0.068 0.250
Rh1 0.399 0.601 0.750
Rh2 0.601 0.399 0.250

Calculated values
raw total energy = -5.5042 eV per atom
magnetic moment = 0.0000 μB per atom

No. 6
Entry from Alexandria: a relaxed structure of Tm4Si2Bi (PBE).

Lattice parameters (Å, degrees): 8.035 8.035 8.035 109.97 109.94 108.51
Positions (direct):
Tm1 0.216 0.286 0.570
Tm2 0.216 0.645 0.930
Tm3 0.286 0.216 0.071
Tm4 0.355 0.784 0.571
Tm5 0.645 0.216 0.429
Tm6 0.714 0.784 0.929
Tm7 0.784 0.355 0.070
Tm8 0.784 0.714 0.430
Si1 0.000 0.500 0.500
Si2 0.500 0.000 0.000
Si3 0.500 0.500 0.000
Si4 0.500 0.500 0.500
Bi1 0.125 0.875 0.250
Bi2 0.875 0.125 0.750

Calculated values
E_form (uncorrected) = -0.52 eV/atom
magnetic moment = 0.0000 μB per atom